First-principles (PBE) data for Ho2In2Co after structural relaxation, as listed in OQMD.

Its raw total energy is -20.82 eV per formula unit.

Cell: 4.2779 4.2779 17.6245 Å, 90.00 90.00 120.00°
Space group P6_3/mmc (No. 194)
One atom of each set of equivalent atoms:
Ho1 0.3333 0.6667 0.1475 [4 per cell]
In1 0.3333 0.6667 0.5494 [4 per cell]
Co1 0.0000 0.0000 0.0000 [2 per cell]